<i>
GeI PBE optimized geometry; SG = No. 44; size of the total moment = 0.000 μB per formula unit; crystal system = orthorhombic
1.0
4.342 0.000 0.000
0.000 9.652 0.000
0.000 0.000 6.480
Ge I
4 4
Cartesian
0.000 0.000 0.000
0.000 4.826 1.731
2.171 0.000 4.971
2.171 4.826 3.240
0.000 2.978 6.172
0.000 6.673 6.172
2.171 1.848 2.932
2.171 7.804 2.932

<ii>
GeI PBE optimized geometry; D(E_F) = 1.158 states/eV/atom; SG = No. 225; size of the total moment = 0.000 μB per formula unit; crystal system = cubic
1.0
6.283 0.000 0.000
0.000 6.283 0.000
0.000 0.000 6.283
Ge I
4 4
Cartesian
0.000 0.000 0.000
0.000 3.141 3.141
3.141 0.000 3.141
3.141 3.141 0.000
0.000 0.000 3.141
0.000 3.141 0.000
3.141 0.000 0.000
3.141 3.141 3.141

<iii>
GeI PBE optimized geometry; D(E_F) = 0.605 states/eV/atom; SG = No. 70; size of the total moment = 0.000 μB per formula unit; crystal system = orthorhombic
1.0
0.000 4.122 9.986
3.798 0.000 9.986
3.798 4.122 0.000
Ge I
4 4
Cartesian
0.950 1.031 0.329
0.950 1.031 4.664
6.647 7.214 15.308
6.647 7.214 19.644
4.742 3.092 7.490
6.641 5.153 12.483
0.956 3.092 7.490
2.855 5.153 12.483

Energy relative to the most stable one, in meV per atom: <i> 0; <ii> 384; <iii> 240